1.
Below is a relaxed structure of Ca2Al4Ga3Au, with properties calculated at the GGA-PBE level.

Results
- total moment (μB/cell) = 0.00
- crystal system = tetragonal
- ρ (g/cm3) = 4.86
- E_form (eV per atom) = -0.41
- energy (eV per formula unit) = -35.39

a = 4.283 Å, b = 4.283 Å, c = 11.069 Å
α = 90.00°, β = 90.00°, γ = 90.00°
Space group P-4m2 (No. 115)
Inequivalent atoms, fractional coordinates:
Ca  0.000  0.500  0.246
Al  0.000  0.000  0.500
Al  0.000  0.500  0.867
Al  0.500  0.500  0.500
Ga  0.000  0.000  0.000
Ga  0.000  0.500  0.640
Au  0.500  0.500  0.000

2.
Below is a relaxed structure of Cs3Li2NpI9, with properties calculated at the GGA-PBE level.

Results
- total moment (μB/cell) = 3.00
- crystal system = trigonal
- ρ (g/cm3) = 4.34
- ΔE_f (raw) (meV/atom) = -1210
- energy (eV per formula unit) = -51.42

a = 8.6172 Å, b = 8.6172 Å, c = 10.6663 Å
α = 90.00°, β = 90.00°, γ = 120.00°
Space group P-3m1 (No. 164)
Inequivalent atoms, fractional coordinates:
Cs  0.0000  0.0000  0.0000
Cs  0.3333  0.6667  0.6985
Li  0.3333  0.6667  0.1037
Np  0.0000  0.0000  0.5000
I  0.0000  0.5000  0.0000
I  0.1647  0.3295  0.3380

3.
Below is a relaxed structure of Ca3Ac2Ga4, with properties calculated at the GGA-PBE level.

Results
- total moment (μB/cell) = 0.00
- crystal system = orthorhombic
- ρ (g/cm3) = 5.36
- E_form (eV per atom) = -0.33
- energy relative to the lowest polymorph listed for this composition (meV/atom) = 112
- energy (eV per formula unit) = -29.34

a = 6.816 Å, b = 19.152 Å, c = 8.105 Å
α = 90.00°, β = 90.00°, γ = 90.00°
Space group Cmce (No. 64)
Inequivalent atoms, fractional coordinates:
Ca  0.000  0.000  0.000
Ca  0.250  0.239  0.250
Ac  0.000  0.092  0.594
Ga  0.000  0.158  0.986
Ga  0.250  0.076  0.250

4.
Below is a relaxed structure of La4CuSn8, with properties calculated at the GGA-PBE level.

Results
- total moment (μB/cell) = 0.00
- crystal system = orthorhombic
- ρ (g/cm3) = 7.05
- E_form (eV per atom) = -0.63
- energy (eV per formula unit) = -64.01

a = 4.498 Å, b = 4.611 Å, c = 17.810 Å
α = 90.00°, β = 90.00°, γ = 90.00°
Space group Pmm2 (No. 25)
Inequivalent atoms, fractional coordinates:
La  0.000  0.000  0.000
La  0.000  0.500  0.491
La  0.500  0.000  0.791
La  0.500  0.500  0.289
Cu  0.000  0.500  0.711
Sn  0.000  0.000  0.330
Sn  0.000  0.000  0.633
Sn  0.000  0.500  0.142
Sn  0.000  0.500  0.855
Sn  0.500  0.000  0.148
Sn  0.500  0.000  0.441
Sn  0.500  0.500  0.632
Sn  0.500  0.500  0.963

The highest total moment belongs to which entry?
Cs3Li2NpI9

What is the ρ in the third record?
5.36 g/cm3

Number 4 is which compound?
La4CuSn8